(1)
This record from Alexandria via LeMat-Bulk describes a geometry-optimized Rb2LiPtBr6 structure. The functional is GGA-PBE.

Its energy above the most stable polymorph in this dataset is 22 meV per atom. Its calculated total energy is -3.045 eV/atom. Its volume is 1220 Å³/cell. Its raw formation energy is -1053 meV/atom.

It has space group Fm-3m (No. 225), with a = 10.6859 Å, b = 10.6859 Å, c = 10.6859 Å, α = 90.00°, β = 90.00° and γ = 90.00°. Symmetry generates all atoms from Rb at (0.2500, 0.2500, 0.2500), Li at (0.0000, 0.0000, 0.0000), Pt at (0.0000, 0.0000, 0.5000) and Br at (0.0000, 0.0000, 0.2584).

***

(2)
This record from Alexandria via LeMat-Bulk describes a geometry-optimized Cs2Tl2Pt structure. The functional is GGA-PBE.

Its energy above the most stable polymorph in this dataset is 0 meV per atom. Its calculated total energy is -2.653 eV/atom. Its formation energy from the elements is -0.16 eV per atom. Its volume is 430 Å³/cell.

It has space group Pbam (No. 55), with a = 7.0493 Å, b = 13.7816 Å, c = 4.4242 Å, α = 90.00°, β = 90.00° and γ = 90.00°. Symmetry generates all atoms from Cs at (0.1157, 0.1534, 0.0000), Tl at (0.1415, 0.4002, 0.5000) and Pt at (0.0000, 0.5000, 0.0000).

***

(3)
This record from Alexandria via LeMat-Bulk describes a geometry-optimized CsLaTe2 structure. The functional is GGA-PBE.

Its calculated total energy is -4.295 eV/atom. Its volume is 870 Å³/cell. Its raw formation energy is -1279 meV/atom.

It has space group I-42d (No. 122), with a = 8.9270 Å, b = 8.9270 Å, c = 10.9221 Å, α = 90.00°, β = 90.00° and γ = 90.00°. Symmetry generates all atoms from Cs at (0.0000, 0.0000, 0.0000), La at (0.0000, 0.0000, 0.5000) and Te at (0.1840, 0.2500, 0.6250).

***

no.,density of states at the Fermi level (states/eV per cell)
1,15.96
2,6.67
3,0.00